BaSr2CaSi | Alexandria | GGA-PBE | relaxed; total DFT energy (no corrections) = -13.21 eV per cell; formation energy from raw total energies = -0.1005 eV/atom; theoretical density = 2.74 Mg/m³
1.0
6.238 0.000 0.000
0.000 6.238 0.000
0.000 0.000 5.924
Si Sr Ca Ba
1 2 1 1
Direct
0.000 0.000 0.000
0.500 0.000 0.000
0.000 0.500 0.000
0.000 0.000 0.500
0.500 0.500 0.500